{"formula": "Tl3Ir", "functional": "PBE", "state": "relaxed", "lattice": [[3.2505, 0.0225, 0.0000], [-0.0232, 3.2505, 0.0000], [0.0000, 0.0000, 9.3073]], "species": ["Ir", "Tl", "Tl", "Tl"], "fractional_positions": [[0.0000, 0.0000, 0.0000], [0.5000, 0.5000, 0.1969], [0.0000, 0.0000, 0.5000], [0.5000, 0.5000, 0.8031]], "de_polymorph_ev_per_atom": 0.180, "total_magnetization_mub_per_cell": 0.00, "dft_energy_ev_per_atom": -3.675, "dos_at_fermi_per_ev_cell": 2.17}